(1)
Below is an optimized crystal structure of LiLuTlCo, with properties calculated at the GGA-PBE level.

It has space group F-43m (No. 216), with a = 6.567 Å, b = 6.567 Å, c = 6.567 Å, α = 90.00°, β = 90.00° and γ = 90.00°. Symmetry generates all atoms from Li at (0.000, 0.000, 0.000), Lu at (0.250, 0.250, 0.250), Tl at (0.250, 0.250, 0.750) and Co at (0.000, 0.000, 0.500).

The final energy is -4.054 eV/atom. The density of states at the Fermi level comes out at 13.6 states/eV/cell. The calculation puts the formation energy at -0.08 eV/atom. Its density is 10.441 g cm⁻³. The calculation puts the total moment at 0.86 μB/f.u.

(2)
Below is an optimized crystal structure of LiYLuCo, with properties calculated at the GGA-PBE level.

It has space group F-43m (No. 216), with a = 6.809 Å, b = 6.809 Å, c = 6.809 Å, α = 90.00°, β = 90.00° and γ = 90.00°. Symmetry generates all atoms from Li at (0.000, 0.000, 0.000), Y at (0.250, 0.250, 0.250), Lu at (0.250, 0.250, 0.750) and Co at (0.000, 0.000, 0.500).

The final energy is -5.100 eV/atom. The density of states at the Fermi level comes out at 11.9 states/eV/cell. The calculation puts the formation energy at -0.10 eV/atom. Its density is 6.939 g cm⁻³. The calculation puts the total moment at 0.00 μB/f.u.

(3)
Below is an optimized crystal structure of LiLuZrCo, with properties calculated at the GGA-PBE level.

It has space group F-43m (No. 216), with a = 6.585 Å, b = 6.585 Å, c = 6.585 Å, α = 90.00°, β = 90.00° and γ = 90.00°. Symmetry generates all atoms from Li at (0.000, 0.000, 0.000), Lu at (0.250, 0.250, 0.250), Zr at (0.250, 0.250, 0.750) and Co at (0.000, 0.000, 0.500).

The final energy is -5.598 eV/atom. The density of states at the Fermi level comes out at 13.0 states/eV/cell. The calculation puts the formation energy at -0.08 eV/atom. Its density is 7.723 g cm⁻³. The calculation puts the total moment at 0.00 μB/f.u.

(4)
Below is an optimized crystal structure of LiMg14Co, with properties calculated at the GGA-PBE level.

It has space group P-6m2 (No. 187), with a = 6.2581 Å, b = 6.2581 Å, c = 10.0263 Å, α = 90.00°, β = 90.00° and γ = 120.00°. Symmetry generates all atoms from Li at (0.0000, 0.0000, 0.0000), Mg at (0.0036, 0.5018, 0.0000), Mg at (0.1606, 0.3211, 0.2627), Mg at (0.5020, 0.0040, 0.5000), Mg at (0.6667, 0.3333, 0.2458) and Co at (0.0000, 0.0000, 0.5000).

The final energy is -1.914 eV/atom. The polymorph energy (0 for the lowest one) comes out at 0.0 kJ/mol of atoms. The density of states at the Fermi level comes out at 8.7 states/eV/cell. The calculation puts the formation energy at 0.04 eV/atom. Its density is 1.983 g cm⁻³. The calculation puts the total moment at 0.98 μB/f.u.

(5)
Below is an optimized crystal structure of Li4MgCo, with properties calculated at the GGA-PBE level.

It has space group F-43m (No. 216), with a = 7.203 Å, b = 7.203 Å, c = 7.203 Å, α = 90.00°, β = 90.00° and γ = 90.00°. Symmetry generates all atoms from Li at (0.123, 0.123, 0.377), Mg at (0.000, 0.000, 0.000) and Co at (0.250, 0.250, 0.750).

The final energy is -2.443 eV/atom. The density of states at the Fermi level comes out at 32.4 states/eV/cell. The calculation puts the formation energy at 0.28 eV/atom. Its density is 1.973 g cm⁻³. The calculation puts the total moment at 1.14 μB/f.u.

(6)
Below is an optimized crystal structure of Li2MgCo2, with properties calculated at the GGA-PBE level.

It has space group P4/mbm (No. 127), with a = 7.209 Å, b = 7.209 Å, c = 2.695 Å, α = 90.00°, β = 90.00° and γ = 90.00°. Symmetry generates all atoms from Li at (0.182, 0.318, 0.000), Mg at (0.000, 0.000, 0.500) and Co at (0.108, 0.608, 0.500).

The final energy is -3.622 eV/atom. The polymorph energy (0 for the lowest one) comes out at 0.0 kJ/mol of atoms. The density of states at the Fermi level comes out at 8.1 states/eV/cell. The calculation puts the formation energy at 0.30 eV/atom. Its density is 3.700 g cm⁻³. The calculation puts the total moment at 2.78 μB/f.u.

(7)
Below is an optimized crystal structure of Li2MgCo, with properties calculated at the GGA-PBE level.

It has space group I-42d (No. 122), with a = 3.645 Å, b = 3.645 Å, c = 19.326 Å, α = 90.00°, β = 90.00° and γ = 90.00°. Symmetry generates all atoms from Li at (0.229, 0.250, 0.125), Mg at (0.000, 0.000, 0.500) and Co at (0.000, 0.000, 0.000).

The final energy is -2.799 eV/atom. The density of states at the Fermi level comes out at 10.1 states/eV/cell. The calculation puts the formation energy at 0.33 eV/atom. Its density is 2.512 g cm⁻³. The calculation puts the total moment at 1.00 μB/f.u.

(8)
Below is an optimized crystal structure of LiMg14Co, with properties calculated at the GGA-PBE level.

It has space group Amm2 (No. 38), with a = 10.009 Å, b = 6.336 Å, c = 10.735 Å, α = 90.00°, β = 90.00° and γ = 90.00°. Symmetry generates all atoms from Li at (0.000, 0.000, 0.000), Mg at (0.000, 0.249, 0.763), Mg at (0.223, 0.241, 0.572), Mg at (0.240, 0.000, 0.330), Mg at (0.253, 0.000, 0.828), Mg at (0.500, 0.000, 0.498), Mg at (0.500, 0.000, 0.999), Mg at (0.500, 0.248, 0.245) and Co at (0.000, 0.000, 0.491).

The final energy is -1.912 eV/atom. The polymorph energy (0 for the lowest one) comes out at 0.3 kJ/mol of atoms. The density of states at the Fermi level comes out at 17.4 states/eV/cell. The calculation puts the formation energy at 0.05 eV/atom. Its density is 1.981 g cm⁻³. The calculation puts the total moment at 1.04 μB/f.u.

What is the density in the fifth record? 1.973 g cm⁻³